Crystalline BaTl2CuHg at its relaxed geometry. Source: Alexandria, functional PBE.

Output
E in eV for the cell shown: -11.6
DFT formation energy in meV/atom: -119

```
data_BaTl2CuHg
_cell_length_a 5.3358
_cell_length_b 5.3358
_cell_length_c 5.2596
_cell_angle_alpha 90.00
_cell_angle_beta 90.00
_cell_angle_gamma 90.00
_symmetry_space_group_name_H-M 'P 1'
_symmetry_Int_Tables_number 1
loop_
_symmetry_equiv_pos_as_xyz
'x,y,z'
loop_
_atom_site_label
_atom_site_fract_x
_atom_site_fract_y
_atom_site_fract_z
Ba1 0.0000 0.0000 0.0000
Tl1 0.0000 0.5000 0.5000
Tl2 0.5000 0.0000 0.5000
Cu1 0.5000 0.5000 0.5000
Hg1 0.5000 0.5000 0.0000
```

***

Crystalline BaV2CuHg at its relaxed geometry. Source: Alexandria, functional PBE.

Output
E in eV for the cell shown: -20.8
DFT formation energy in meV/atom: 744

```
data_BaV2CuHg
_cell_length_a 4.9923
_cell_length_b 4.9923
_cell_length_c 5.0270
_cell_angle_alpha 90.00
_cell_angle_beta 90.00
_cell_angle_gamma 90.00
_symmetry_space_group_name_H-M 'P 1'
_symmetry_Int_Tables_number 1
loop_
_symmetry_equiv_pos_as_xyz
'x,y,z'
loop_
_atom_site_label
_atom_site_fract_x
_atom_site_fract_y
_atom_site_fract_z
Ba1 0.0000 0.0000 0.0000
V1 0.0000 0.5000 0.5000
V2 0.5000 0.0000 0.5000
Cu1 0.5000 0.5000 0.5000
Hg1 0.5000 0.5000 0.0000
```

***

Crystalline Ba2ZnCuHg at its relaxed geometry. Source: Alexandria, functional PBE.

Output
E in eV for the cell shown: -10.3
DFT formation energy in meV/atom: -153
Energy relative to the lowest polymorph listed for this composition in meV/atom: 0

```
data_Ba2ZnCuHg
_cell_length_a 6.1371
_cell_length_b 6.1371
_cell_length_c 4.6963
_cell_angle_alpha 90.00
_cell_angle_beta 90.00
_cell_angle_gamma 90.00
_symmetry_space_group_name_H-M 'P 1'
_symmetry_Int_Tables_number 1
loop_
_symmetry_equiv_pos_as_xyz
'x,y,z'
loop_
_atom_site_label
_atom_site_fract_x
_atom_site_fract_y
_atom_site_fract_z
Ba1 0.0000 0.5000 0.0000
Ba2 0.5000 0.0000 0.0000
Zn1 0.0000 0.0000 0.5000
Cu1 0.0000 0.0000 0.0000
Hg1 0.5000 0.5000 0.5000
```

***

Crystalline BaZn2CuHg at its relaxed geometry. Source: Alexandria, functional PBE.

Output
E in eV for the cell shown: -9.5
DFT formation energy in meV/atom: -118

```
data_BaZn2CuHg
_cell_length_a 4.8927
_cell_length_b 4.8927
_cell_length_c 5.1602
_cell_angle_alpha 90.00
_cell_angle_beta 90.00
_cell_angle_gamma 90.00
_symmetry_space_group_name_H-M 'P 1'
_symmetry_Int_Tables_number 1
loop_
_symmetry_equiv_pos_as_xyz
'x,y,z'
loop_
_atom_site_label
_atom_site_fract_x
_atom_site_fract_y
_atom_site_fract_z
Ba1 0.0000 0.0000 0.0000
Zn1 0.0000 0.5000 0.5000
Zn2 0.5000 0.0000 0.5000
Cu1 0.5000 0.5000 0.5000
Hg1 0.5000 0.5000 0.0000
```

***

Crystalline Ba2ZnCuHg at its relaxed geometry. Source: Alexandria, functional PBE.

Output
E in eV for the cell shown: -8.7
DFT formation energy in meV/atom: 172
Energy relative to the lowest polymorph listed for this composition in meV/atom: 325

```
data_Ba2ZnCuHg
_cell_length_a 6.5128
_cell_length_b 6.5128
_cell_length_c 4.9332
_cell_angle_alpha 90.00
_cell_angle_beta 90.00
_cell_angle_gamma 90.00
_symmetry_space_group_name_H-M 'P 1'
_symmetry_Int_Tables_number 1
loop_
_symmetry_equiv_pos_as_xyz
'x,y,z'
loop_
_atom_site_label
_atom_site_fract_x
_atom_site_fract_y
_atom_site_fract_z
Ba1 0.0000 0.5000 0.0000
Ba2 0.5000 0.0000 0.0000
Zn1 0.0000 0.0000 0.5000
Cu1 0.5000 0.5000 0.5000
Hg1 0.0000 0.0000 0.0000
```

***

Crystalline BaZnCuHg2 at its relaxed geometry. Source: Alexandria, functional PBE.

Output
E in eV for the cell shown: -8.8
DFT formation energy in meV/atom: -171

```
data_BaZnCuHg2
_cell_length_a 5.2016
_cell_length_b 5.2016
_cell_length_c 4.8963
_cell_angle_alpha 90.00
_cell_angle_beta 90.00
_cell_angle_gamma 90.00
_symmetry_space_group_name_H-M 'P 1'
_symmetry_Int_Tables_number 1
loop_
_symmetry_equiv_pos_as_xyz
'x,y,z'
loop_
_atom_site_label
_atom_site_fract_x
_atom_site_fract_y
_atom_site_fract_z
Ba1 0.0000 0.0000 0.0000
Zn1 0.5000 0.5000 0.0000
Cu1 0.5000 0.5000 0.5000
Hg1 0.0000 0.5000 0.5000
Hg2 0.5000 0.0000 0.5000
```

***

Crystalline BaHoCu2 at its relaxed geometry. Source: Alexandria, functional PBE.

Output
E in eV for the cell shown: -15.0
DFT formation energy in meV/atom: -86

```
data_BaHoCu2
_cell_length_a 3.6729
_cell_length_b 3.6729
_cell_length_c 7.4600
_cell_angle_alpha 90.00
_cell_angle_beta 90.00
_cell_angle_gamma 90.00
_symmetry_space_group_name_H-M 'P 1'
_symmetry_Int_Tables_number 1
loop_
_symmetry_equiv_pos_as_xyz
'x,y,z'
loop_
_atom_site_label
_atom_site_fract_x
_atom_site_fract_y
_atom_site_fract_z
Ba1 0.0000 0.0000 0.0000
Ho1 0.0000 0.0000 0.5000
Cu1 0.5000 0.5000 0.3196
Cu2 0.5000 0.5000 0.6804
```

***

Crystalline Ba2HoCu2O6 at its relaxed geometry. Source: Alexandria, functional PBE.

Output
E in eV for the cell shown: -67.6

```
data_Ba2HoCu2O6
_cell_length_a 6.7788
_cell_length_b 6.7788
_cell_length_c 6.7788
_cell_angle_alpha 52.88
_cell_angle_beta 52.88
_cell_angle_gamma 52.88
_symmetry_space_group_name_H-M 'P 1'
_symmetry_Int_Tables_number 1
loop_
_symmetry_equiv_pos_as_xyz
'x,y,z'
loop_
_atom_site_label
_atom_site_fract_x
_atom_site_fract_y
_atom_site_fract_z
Ba1 0.2155 0.2155 0.2155
Ba2 0.7845 0.7845 0.7845
Ho1 0.0000 0.0000 0.0000
Cu1 0.4212 0.4212 0.4212
Cu2 0.5788 0.5788 0.5788
O1 0.2321 0.7548 0.7548
O2 0.2452 0.2452 0.7679
O3 0.2452 0.7679 0.2452
O4 0.7548 0.2321 0.7548
O5 0.7548 0.7548 0.2321
O6 0.7679 0.2452 0.2452
```

***

Crystalline Ba3HoCu2O6 at its relaxed geometry. Source: Alexandria, functional PBE.

Output
E in eV for the cell shown: -72.6

```
data_Ba3HoCu2O6
_cell_length_a 6.1733
_cell_length_b 6.1733
_cell_length_c 6.9048
_cell_angle_alpha 90.00
_cell_angle_beta 90.00
_cell_angle_gamma 120.00
_symmetry_space_group_name_H-M 'P 1'
_symmetry_Int_Tables_number 1
loop_
_symmetry_equiv_pos_as_xyz
'x,y,z'
loop_
_atom_site_label
_atom_site_fract_x
_atom_site_fract_y
_atom_site_fract_z
Ba1 0.0000 0.0000 0.0000
Ba2 0.3333 0.6667 0.6548
Ba3 0.6667 0.3333 0.3452
Ho1 0.0000 0.0000 0.5000
Cu1 0.3333 0.6667 0.2150
Cu2 0.6667 0.3333 0.7850
O1 0.1645 0.3290 0.3015
O2 0.1645 0.8355 0.3015
O3 0.3290 0.1645 0.6985
O4 0.6710 0.8355 0.3015
O5 0.8355 0.1645 0.6985
O6 0.8355 0.6710 0.6985
```

***

Crystalline BaHo2CuO5 at its relaxed geometry. Source: Alexandria, functional PBE.

Output
E in eV for the cell shown: -127.3
Energy relative to the lowest polymorph listed for this composition in meV/atom: 76

```
data_BaHo2CuO5
_cell_length_a 7.4071
_cell_length_b 7.4071
_cell_length_c 7.4071
_cell_angle_alpha 127.81
_cell_angle_beta 127.81
_cell_angle_gamma 76.93
_symmetry_space_group_name_H-M 'P 1'
_symmetry_Int_Tables_number 1
loop_
_symmetry_equiv_pos_as_xyz
'x,y,z'
loop_
_atom_site_label
_atom_site_fract_x
_atom_site_fract_y
_atom_site_fract_z
Ba1 0.2500 0.2500 0.0000
Ba2 0.7500 0.7500 0.0000
Ho1 0.1729 0.6729 0.8457
Ho2 0.3271 0.1729 0.5000
Ho3 0.6729 0.8271 0.5000
Ho4 0.8271 0.3271 0.1543
Cu1 0.2500 0.7500 0.5000
Cu2 0.7500 0.2500 0.5000
O1 0.0000 0.0000 0.0000
O2 0.0183 0.2348 0.5000
O3 0.2348 0.7348 0.2165
O4 0.2652 0.4817 0.5000
O5 0.4817 0.9817 0.2165
O6 0.5000 0.5000 0.0000
O7 0.5183 0.0183 0.7835
O8 0.7348 0.5183 0.5000
O9 0.7652 0.2652 0.7835
O10 0.9817 0.7652 0.5000
```

***

Crystalline BaHo2CuO5 at its relaxed geometry. Source: Alexandria, functional PBE.

Output
E in eV for the cell shown: -257.3
Energy relative to the lowest polymorph listed for this composition in meV/atom: 0

```
data_BaHo2CuO5
_cell_length_a 12.2178
_cell_length_b 5.6881
_cell_length_c 7.2051
_cell_angle_alpha 90.00
_cell_angle_beta 90.00
_cell_angle_gamma 90.00
_symmetry_space_group_name_H-M 'P 1'
_symmetry_Int_Tables_number 1
loop_
_symmetry_equiv_pos_as_xyz
'x,y,z'
loop_
_atom_site_label
_atom_site_fract_x
_atom_site_fract_y
_atom_site_fract_z
Ba1 0.0958 0.2500 0.0688
Ba2 0.4042 0.7500 0.5688
Ba3 0.5958 0.2500 0.4312
Ba4 0.9042 0.7500 0.9312
Ho1 0.0739 0.7500 0.3968
Ho2 0.2130 0.2500 0.6133
Ho3 0.2870 0.7500 0.1133
Ho4 0.4261 0.2500 0.8968
Ho5 0.5739 0.7500 0.1032
Ho6 0.7130 0.2500 0.8867
Ho7 0.7870 0.7500 0.3867
Ho8 0.9261 0.2500 0.6032
Cu1 0.1606 0.7500 0.7819
Cu2 0.3394 0.2500 0.2819
Cu3 0.6606 0.7500 0.7181
Cu4 0.8394 0.2500 0.2181
O1 0.0680 0.5050 0.6609
O2 0.0680 0.9950 0.6609
O3 0.1002 0.7500 0.0853
O4 0.2281 0.0031 0.3563
O5 0.2281 0.4969 0.3563
O6 0.2719 0.5031 0.8563
O7 0.2719 0.9969 0.8563
O8 0.3998 0.2500 0.5853
O9 0.4320 0.0050 0.1609
O10 0.4320 0.4950 0.1609
O11 0.5680 0.5050 0.8391
O12 0.5680 0.9950 0.8391
O13 0.6002 0.7500 0.4147
O14 0.7281 0.0031 0.1437
O15 0.7281 0.4969 0.1437
O16 0.7719 0.5031 0.6437
O17 0.7719 0.9969 0.6437
O18 0.8998 0.2500 0.9147
O19 0.9320 0.0050 0.3391
O20 0.9320 0.4950 0.3391
```

***

Crystalline Ba4HoCu3O9 at its relaxed geometry. Source: Alexandria, functional PBE.

Output
E in eV for the cell shown: -207.1

```
data_Ba4HoCu3O9
_cell_length_a 8.1494
_cell_length_b 8.1494
_cell_length_c 8.1494
_cell_angle_alpha 90.00
_cell_angle_beta 90.00
_cell_angle_gamma 90.00
_symmetry_space_group_name_H-M 'P 1'
_symmetry_Int_Tables_number 1
loop_
_symmetry_equiv_pos_as_xyz
'x,y,z'
loop_
_atom_site_label
_atom_site_fract_x
_atom_site_fract_y
_atom_site_fract_z
Ba1 0.2500 0.2500 0.2500
Ba2 0.2500 0.2500 0.7500
Ba3 0.2500 0.7500 0.2500
Ba4 0.2500 0.7500 0.7500
Ba5 0.7500 0.2500 0.2500
Ba6 0.7500 0.2500 0.7500
Ba7 0.7500 0.7500 0.2500
Ba8 0.7500 0.7500 0.7500
Ho1 0.0000 0.0000 0.0000
Ho2 0.5000 0.5000 0.5000
Cu1 0.0000 0.0000 0.5000
Cu2 0.0000 0.5000 0.0000
Cu3 0.0000 0.5000 0.5000
Cu4 0.5000 0.0000 0.0000
Cu5 0.5000 0.0000 0.5000
Cu6 0.5000 0.5000 0.0000
O1 0.0000 0.0000 0.2723
O2 0.0000 0.0000 0.7277
O3 0.0000 0.2500 0.5000
O4 0.0000 0.2723 0.0000
O5 0.0000 0.7277 0.0000
O6 0.0000 0.7500 0.5000
O7 0.2277 0.5000 0.5000
O8 0.2500 0.5000 0.0000
O9 0.2723 0.0000 0.0000
O10 0.5000 0.0000 0.2500
O11 0.5000 0.0000 0.7500
O12 0.5000 0.2277 0.5000
O13 0.5000 0.5000 0.2277
O14 0.5000 0.5000 0.7723
O15 0.5000 0.7723 0.5000
O16 0.7277 0.0000 0.0000
O17 0.7500 0.5000 0.0000
O18 0.7723 0.5000 0.5000
```